Compound: Rb2FeF8
Source: Alexandria via LeMat-Bulk
Functional: GGA+U
Structure: relaxed

Summary:
Calculated density   3.13 g/cm3
E   -3.9698 eV/atom
Spin magnetization   2.00 Bohr magnetons per cell

Geometry as POSCAR:
```
Rb2FeF8
1.0
-2.399 4.915 4.573
-4.083 -2.000 4.196
1.537 -0.870 5.929
Rb F Fe
2 8 1
Cartesian
-3.684 1.439 11.004
-1.261 0.605 3.693
-4.864 2.997 7.932
-2.133 3.103 4.892
-2.812 -1.059 9.806
-2.246 0.429 7.002
-2.699 1.615 7.696
-0.080 -0.953 6.765
-3.277 -1.596 5.779
-1.668 3.640 8.918
0.000 0.000 0.000
```